No. 1
Below is a relaxed PrDy12Er7 crystal, with properties calculated at the PBE level.

Cell and atoms, written as POSCAR:
```
PrDy12Er7
1.0
-5.6357 5.6357 5.6357
5.6357 -5.6357 5.6357
5.6357 5.6357 -5.6357
Pr Dy Er
1 12 7
direct
0.0000 0.0000 0.0000
0.0000 0.2573 0.7427
0.0000 0.7427 0.2573
0.2573 0.0000 0.7427
0.2573 0.2573 0.5147
0.2573 0.5147 0.2573
0.2573 0.7427 0.0000
0.4853 0.7427 0.7427
0.5147 0.2573 0.2573
0.7427 0.0000 0.2573
0.7427 0.2573 0.0000
0.7427 0.4853 0.7427
0.7427 0.7427 0.4853
0.0000 0.0000 0.5000
0.0000 0.5000 0.0000
0.0000 0.5000 0.5000
0.5000 0.0000 0.0000
0.5000 0.0000 0.5000
0.5000 0.5000 0.0000
0.5000 0.5000 0.5000
```

Output
**Space group**: Im-3m, No. 229
**Calculated volume**: 716.0 Å³/cell

---

No. 2
Below is a relaxed YTcIr2 crystal, with properties calculated at the PBE level.

Cell and atoms, written as POSCAR:
```
YTcIr2
1.0
9.4370 0.0000 0.0000
0.0000 2.8598 0.0000
-0.8576 0.0000 5.0832
Y Tc Ir
2 2 4
direct
0.0000 0.0000 0.0000
0.5000 0.5000 0.0000
0.0000 0.5000 0.5000
0.5000 0.0000 0.5000
0.2440 0.0000 0.7106
0.2560 0.5000 0.2894
0.7440 0.5000 0.7106
0.7560 0.0000 0.2894
```

Output
**Space group**: C2/m, No. 12
**Calculated volume**: 137.2 Å³/cell

---

no.,final energy (eV/f.u.),ΔH_f (0 K) (eV per atom),N(E_F) (states/eV/cell)
1,-77.70,0.71,24.42
2,-34.62,-0.02,6.24